(1)
Cs3TaRe | PBE | optimized geometry

Cell lengths 6.373, 6.373, 6.373 Å; angles 90.00, 90.00, 90.00 degrees
Space group Pm-3m (No. 221)
Unique sites:
Cs: 0.000 0.000 0.500 [3 per cell]
Ta: 0.000 0.000 0.000 [1 per cell]
Re: 0.500 0.500 0.500 [1 per cell]

Calculated values
* total magnetization: 0.7 μB per cell
* mass density: 4.9 g cm⁻³
* DOS(E_F): 12.55 states/eV/f.u.
* calculated formation energy: 14.75 eV per formula unit

***

(2)
Na10Te4Se | PBE | optimized geometry

Cell lengths 11.441, 11.441, 7.247 Å; angles 90.00, 90.00, 90.00 degrees
Space group I4/m (No. 87)
Unique sites:
Na: 0.000 0.500 0.250 [4 per cell]
Na: 0.097 0.806 0.242 [16 per cell]
Te: 0.101 0.298 0.500 [8 per cell]
Se: 0.000 0.000 0.000 [2 per cell]

Calculated values
* E_form (uncorrected): -953 meV/atom
* total magnetization: 0.0 μB per cell
* mass density: 2.9 g cm⁻³
* DOS(E_F): 0.00 states/eV/f.u.

***

(3)
CaNiSbI2 | PBE | optimized geometry

Cell lengths 5.922, 5.922, 6.325 Å; angles 90.00, 90.00, 90.00 degrees
Space group P4/mmm (No. 123)
Unique sites:
Ca: 0.000 0.000 0.000 [1 per cell]
Ni: 0.500 0.500 0.500 [1 per cell]
Sb: 0.000 0.000 0.500 [1 per cell]
I: 0.000 0.500 0.000 [2 per cell]

Calculated values
* energy above the lowest structure with this stoichiometry: 684 meV/atom
* E_form (uncorrected): 463 meV/atom
* total magnetization: 2.9 μB per cell
* mass density: 3.6 g cm⁻³
* DOS(E_F): 8.73 states/eV/f.u.

***

(4)
YSbF | PBE | optimized geometry

Cell lengths 6.250, 11.001, 4.077 Å; angles 90.00, 90.00, 90.00 degrees
Space group Cmcm (No. 63)
Unique sites:
Y: 0.000 0.152 0.250 [4 per cell]
Sb: 0.000 0.387 0.750 [4 per cell]
F: 0.000 0.067 0.750 [4 per cell]

Calculated values
* energy above the lowest structure with this stoichiometry: 4 meV/atom
* E_form (uncorrected): -2078 meV/atom
* total magnetization: 0.0 μB per cell
* mass density: 5.4 g cm⁻³
* DOS(E_F): 1.22 states/eV/f.u.

***

Question: The lowest mass density belongs to which entry?
Answer: Na10Te4Se

***

Question: What is the total magnetization in the second record?
Answer: 0.0 μB per cell

***

Question: DOS(E_F) of number 1 (Cs3TaRe)?
Answer: 12.55 states/eV/f.u.

***

Question: Which of these has the highest DOS(E_F)?
Answer: Cs3TaRe